# 1
Here is an optimized crystal structure of CsNbAs2 from Alexandria. Energies are from PBE.

Properties
Energy = -5.40 eV per atom
Energy relative to the elements = -343 meV per atom
Fermi-level density of states = 6.0 states/eV/cell
Size of the total moment = 0.0 μB/cell

a b c (Å): 3.7668 3.7668 25.7407
angles (deg): 90.00 90.00 120.00
Space group R-3m (No. 166, hexagonal axes)
One atom of each set of equivalent atoms:
Cs1 0.0000 0.0000 0.0000 [3 per cell]
Nb1 0.0000 0.0000 0.5000 [3 per cell]
As1 0.0000 0.0000 0.2265 [6 per cell]

# 2
Here is an optimized crystal structure of Cs2NbAsO6 from Alexandria. Energies are from PBE.

Properties
Energy = -6.20 eV per atom
Size of the total moment = 0.0 μB/cell

a b c (Å): 5.478 5.478 11.986
angles (deg): 90.00 90.00 90.00
Space group I4/mmm (No. 139)
One atom of each set of equivalent atoms:
Cs1 0.000 0.500 0.250 [4 per cell]
Nb1 0.000 0.000 0.000 [2 per cell]
As1 0.000 0.000 0.500 [2 per cell]
O1 0.000 0.000 0.159 [4 per cell]
O2 0.228 0.228 0.500 [8 per cell]

# 3
Here is an optimized crystal structure of CsNbAsO6 from Alexandria. Energies are from PBE.

Properties
Energy = -6.70 eV per atom
Fermi-level density of states = 3.1 states/eV/cell
Size of the total moment = 1.1 μB/cell

a b c (Å): 5.3058 5.3058 6.6171
angles (deg): 90.00 90.00 120.00
Space group P312 (No. 149)
One atom of each set of equivalent atoms:
Cs1 0.0000 0.0000 0.0000 [1 per cell]
Nb1 0.6667 0.3333 0.5000 [1 per cell]
As1 0.3333 0.6667 0.5000 [1 per cell]
O1 0.0210 0.4107 0.6613 [6 per cell]

- energy of number 1 (CsNbAs2)?
  -5.40 eV per atom

- The highest size of the total moment belongs to which entry?
  CsNbAsO6

- Which value of energy does entry 1 give?
  -5.40 eV per atom